VASP calculation (PBE with a Hubbard U) on a relaxed structure of Mn9Al2Si8H8O32.

Properties
**D(E_F)**: 0.00 states/eV/f.u.
**Uncorrected energy**: -7.2962 eV per atom
**Magnetic moment**: 45.00 μB per formula unit

abc: 7.728 8.432 10.513
angles: 103.98 104.53 93.87
Fractional positions:
Mn 0.000 0.000 0.000
Mn 0.120 0.166 0.558
Mn 0.138 0.392 0.073
Mn 0.421 0.163 0.201
Mn 0.448 0.431 0.727
Mn 0.552 0.569 0.273
Mn 0.579 0.837 0.799
Mn 0.862 0.608 0.927
Mn 0.880 0.834 0.442
Al 0.268 0.780 0.132
Al 0.732 0.220 0.868
Si 0.179 0.746 0.800
Si 0.206 0.432 0.397
Si 0.300 0.811 0.451
Si 0.313 0.116 0.859
Si 0.687 0.884 0.141
Si 0.700 0.189 0.549
Si 0.794 0.568 0.603
Si 0.821 0.254 0.200
H 0.024 0.323 0.810
H 0.138 0.989 0.270
H 0.388 0.575 0.991
H 0.499 0.014 0.625
H 0.501 0.986 0.375
H 0.612 0.425 0.009
H 0.862 0.011 0.730
H 0.976 0.677 0.190
O 0.010 0.634 0.676
O 0.055 0.640 0.132
O 0.121 0.769 0.944
O 0.139 0.928 0.441
O 0.178 0.984 0.188
O 0.199 0.930 0.771
O 0.220 0.633 0.461
O 0.247 0.167 0.999
O 0.254 0.245 0.765
O 0.273 0.349 0.522
O 0.314 0.396 0.280
O 0.355 0.577 0.075
O 0.364 0.664 0.805
O 0.386 0.790 0.321
O 0.462 0.891 0.596
O 0.472 0.904 0.117
O 0.528 0.096 0.883
O 0.538 0.109 0.404
O 0.614 0.210 0.679
O 0.636 0.336 0.195
O 0.645 0.423 0.925
O 0.686 0.604 0.720
O 0.727 0.651 0.478
O 0.746 0.755 0.235
O 0.753 0.833 0.001
O 0.780 0.367 0.539
O 0.801 0.070 0.229
O 0.822 0.016 0.812
O 0.861 0.072 0.559
O 0.879 0.231 0.056
O 0.945 0.360 0.868
O 0.990 0.366 0.324